This record from Alexandria via LeMat-Bulk describes a geometry-optimized SrAcInRh structure. The functional is PBE.

Values from the calculation:
The calculated formation energy is -0.2804 eV/atom. For the total magnetization, the calculation gives 0.00 μB per cell. The space group is No. 216.

a b c (Å): 7.7474 7.7474 7.7474
angles (deg): 90.00 90.00 90.00
Last column: nearest neighbours and their distance in Å.
Sites, in units of the cell vectors:
Sr (0.0000, 0.0000, 0.0000)  4 Rh 3.35, 4 In 3.35
Sr (0.0000, 0.5000, 0.5000)  4 Rh 3.35, 4 In 3.35
Sr (0.5000, 0.0000, 0.5000)  4 Rh 3.35, 4 In 3.35
Sr (0.5000, 0.5000, 0.0000)  4 Rh 3.35, 4 In 3.35
Ac (0.0000, 0.0000, 0.5000)  4 In 3.35, 4 Rh 3.35
Ac (0.0000, 0.5000, 0.0000)  4 In 3.35, 4 Rh 3.35
Ac (0.5000, 0.0000, 0.0000)  4 In 3.35, 4 Rh 3.35
Ac (0.5000, 0.5000, 0.5000)  4 In 3.35, 4 Rh 3.35
In (0.2500, 0.2500, 0.7500)  4 Ac 3.35, 4 Sr 3.35
In (0.2500, 0.7500, 0.2500)  4 Ac 3.35, 4 Sr 3.35
In (0.7500, 0.2500, 0.2500)  4 Ac 3.35, 4 Sr 3.35
In (0.7500, 0.7500, 0.7500)  4 Ac 3.35, 4 Sr 3.35
Rh (0.2500, 0.2500, 0.2500)  4 Ac 3.35, 4 Sr 3.35
Rh (0.2500, 0.7500, 0.7500)  4 Ac 3.35, 4 Sr 3.35
Rh (0.7500, 0.2500, 0.7500)  4 Ac 3.35, 4 Sr 3.35
Rh (0.7500, 0.7500, 0.2500)  4 Ac 3.35, 4 Sr 3.35



This record from Alexandria via LeMat-Bulk describes a geometry-optimized CaSc3Ru structure. The functional is PBE.

Values from the calculation:
The calculated formation energy is -0.1586 eV/atom. For the total magnetization, the calculation gives 0.00 μB per cell. The space group is No. 221.

a b c (Å): 5.0999 5.0999 5.0999
angles (deg): 90.00 90.00 90.00
Last column: nearest neighbours and their distance in Å.
Sites, in units of the cell vectors:
Ca (0.0000, 0.0000, 0.0000)  12 Sc 3.61
Sc (0.0000, 0.5000, 0.5000)  2 Ru 2.55
Sc (0.5000, 0.0000, 0.5000)  2 Ru 2.55
Sc (0.5000, 0.5000, 0.0000)  2 Ru 2.55
Ru (0.5000, 0.5000, 0.5000)  6 Sc 2.55



This record from Alexandria via LeMat-Bulk describes a geometry-optimized SrTi2Pt2 structure. The functional is PBE.

Values from the calculation:
The calculated formation energy is -0.4737 eV/atom. For the total magnetization, the calculation gives 2.72 μB per cell. For the relative energy among the computed polymorphs, the calculation gives 1.50 eV/f.u. The space group is No. 139.

a b c (Å): 4.7493 4.7493 9.8796
angles (deg): 90.00 90.00 90.00
Last column: nearest neighbours and their distance in Å.
Sites, in units of the cell vectors:
Sr (0.0000, 0.0000, 0.0000)  8 Pt 3.43, 10 Ti 3.49-3.66
Sr (0.5000, 0.5000, 0.5000)  8 Pt 3.43, 10 Ti 3.49-3.66
Ti (0.0000, 0.0000, 0.3528)  4 Pt 2.58
Ti (0.0000, 0.0000, 0.6472)  4 Pt 2.58
Ti (0.5000, 0.5000, 0.1472)  4 Pt 2.58
Ti (0.5000, 0.5000, 0.8528)  4 Pt 2.58
Pt (0.0000, 0.5000, 0.2500)  4 Ti 2.58
Pt (0.0000, 0.5000, 0.7500)  4 Ti 2.58
Pt (0.5000, 0.0000, 0.2500)  4 Ti 2.58
Pt (0.5000, 0.0000, 0.7500)  4 Ti 2.58



Question: Which formula does entry 2 have?
Answer: CaSc3Ru



Question: What is the formula in the third record?
Answer: SrTi2Pt2